1.
## HoPaTa4 (PBE-GGA)

Data for an optimized crystal structure of HoPaTa4.

```
data_HoPaTa4
_chemical_formula_sum 'Ho4 Pa4 Ta16'
_cell_length_a 8.038
_cell_length_b 8.038
_cell_length_c 8.038
_cell_angle_alpha 90.00
_cell_angle_beta 90.00
_cell_angle_gamma 90.00
_symmetry_space_group_name_H-M 'F -4 3 m'
_symmetry_Int_Tables_number 216
_symmetry_space_group_name_Hall 'F -4 2 3'
loop_
_atom_site_label
_atom_site_fract_x
_atom_site_fract_y
_atom_site_fract_z
Ho1 0.000 0.000 0.000
Pa1 0.250 0.250 0.750
Ta1 0.124 0.124 0.376
```

energy of formation from the pure elements: 0.18 eV/atom
VASP energy: -10.071 eV per atom

=====

2.
## CePmGe2Pd5 (PBE-GGA)

Data for an optimized crystal structure of CePmGe2Pd5.

```
data_CePmGe2Pd5
_chemical_formula_sum 'Ce1 Pm1 Ge2 Pd5'
_cell_length_a 4.256
_cell_length_b 4.256
_cell_length_c 9.246
_cell_angle_alpha 90.00
_cell_angle_beta 90.00
_cell_angle_gamma 90.00
_symmetry_space_group_name_H-M 'P 4/m m m'
_symmetry_Int_Tables_number 123
_symmetry_space_group_name_Hall '-P 4 2'
loop_
_atom_site_label
_atom_site_fract_x
_atom_site_fract_y
_atom_site_fract_z
Ce1 0.000 0.000 0.000
Pm1 0.000 0.000 0.500
Ge1 0.500 0.500 0.366
Pd1 0.000 0.500 0.221
Pd2 0.500 0.500 0.000
```

energy of formation from the pure elements: -0.80 eV/atom
VASP energy: -5.896 eV per atom

=====

3.
## Cd3GeRu (PBE-GGA)

Data for an optimized crystal structure of Cd3GeRu.

```
data_Cd3GeRu
_chemical_formula_sum 'Cd3 Ge1 Ru1'
_cell_length_a 5.047
_cell_length_b 5.047
_cell_length_c 5.047
_cell_angle_alpha 90.00
_cell_angle_beta 90.00
_cell_angle_gamma 90.00
_symmetry_space_group_name_H-M 'P m -3 m'
_symmetry_Int_Tables_number 221
_symmetry_space_group_name_Hall '-P 4 2 3'
loop_
_atom_site_label
_atom_site_fract_x
_atom_site_fract_y
_atom_site_fract_z
Cd1 0.000 0.000 0.500
Ge1 0.000 0.000 0.000
Ru1 0.500 0.500 0.500
```

energy of formation from the pure elements: 1.12 eV/atom
offset from the most stable computed form: 0.329 eV per atom
VASP energy: -2.208 eV per atom

=====

4.
## ZnSe2Br (PBE-GGA)

Data for an optimized crystal structure of ZnSe2Br.

```
data_ZnSe2Br
_chemical_formula_sum 'Zn2 Se4 Br2'
_cell_length_a 3.790
_cell_length_b 3.790
_cell_length_c 14.559
_cell_angle_alpha 90.00
_cell_angle_beta 90.00
_cell_angle_gamma 90.00
_symmetry_space_group_name_H-M 'I 4/m m m'
_symmetry_Int_Tables_number 139
_symmetry_space_group_name_Hall '-I 4 2'
loop_
_atom_site_label
_atom_site_fract_x
_atom_site_fract_y
_atom_site_fract_z
Zn1 0.000 0.000 0.000
Se1 0.000 0.500 0.250
Br1 0.000 0.000 0.500
```

raw formation energy: 0.00 eV per atom
offset from the most stable computed form: 0.292 eV per atom
VASP energy: -2.479 eV per atom

=====

5.
## Fe2PdCBr (PBE-GGA)

Data for an optimized crystal structure of Fe2PdCBr.

```
data_Fe2PdCBr
_chemical_formula_sum 'Fe2 Pd1 C1 Br1'
_cell_length_a 4.831
_cell_length_b 4.831
_cell_length_c 4.916
_cell_angle_alpha 90.00
_cell_angle_beta 90.00
_cell_angle_gamma 90.00
_symmetry_space_group_name_H-M 'P 4/m m m'
_symmetry_Int_Tables_number 123
_symmetry_space_group_name_Hall '-P 4 2'
loop_
_atom_site_label
_atom_site_fract_x
_atom_site_fract_y
_atom_site_fract_z
Fe1 0.000 0.500 0.000
Pd1 0.000 0.000 0.000
C1 0.500 0.500 0.500
Br1 0.000 0.000 0.500
```

raw formation energy: 2.22 eV per atom
VASP energy: -4.384 eV per atom

=====

6.
## Ta2Zn2Mo (PBE-GGA)

Data for an optimized crystal structure of Ta2Zn2Mo.

```
data_Ta2Zn2Mo
_chemical_formula_sum 'Ta4 Zn4 Mo2'
_cell_length_a 3.348
_cell_length_b 3.348
_cell_length_c 15.588
_cell_angle_alpha 90.00
_cell_angle_beta 90.00
_cell_angle_gamma 90.00
_symmetry_space_group_name_H-M 'I 4/m m m'
_symmetry_Int_Tables_number 139
_symmetry_space_group_name_Hall '-I 4 2'
loop_
_atom_site_label
_atom_site_fract_x
_atom_site_fract_y
_atom_site_fract_z
Ta1 0.000 0.000 0.093
Zn1 0.000 0.500 0.250
Mo1 0.000 0.000 0.500
```

energy of formation from the pure elements: 0.36 eV/atom
offset from the most stable computed form: 0.247 eV per atom
VASP energy: -7.057 eV per atom

=====

Number 1: D(E_F) 7.9 states/eV/f.u.. Number 2: D(E_F) 7.2 states/eV/f.u.. Number 3: D(E_F) 4.8 states/eV/f.u.. Number 4: D(E_F) 2.3 states/eV/f.u.. Number 5: D(E_F) 7.7 states/eV/f.u.. Number 6: D(E_F) 4.6 states/eV/f.u..